[1]
The following is a PBE calculation of a relaxed structure of ZnTc2Cl, from Alexandria.

Results
- energy above the most stable polymorph in this dataset (meV per atom) = 813.4
- E_form (uncorrected) (eV per atom) = 0.7703

abc: 4.3990 4.3990 2.9546
angles: 90.00 90.00 90.00
With the nearest neighbours (Å) after each atom.
Space group P4/mmm (No. 123)
One atom of each set of equivalent atoms:
Zn1 0.0000 0.0000 0.0000  8 Tc 2.65, 2 Zn 2.95
Tc1 0.0000 0.5000 0.5000  4 Cl 2.65, 4 Zn 2.65, 2 Tc 2.95
Cl1 0.5000 0.5000 0.0000  8 Tc 2.65, 2 Cl 2.95


[2]
The following is a PBE calculation of a relaxed structure of V2CuPd5, from Alexandria.

Results
- E (eV per atom) = -5.914

abc: 2.6509 17.4159 10.7089
angles: 90.00 90.00 90.00
With the nearest neighbours (Å) after each atom.
Space group Cmcm (No. 63)
One atom of each set of equivalent atoms:
V1 0.0000 0.1257 0.0046  6 Pd 2.51-2.77, 2 V 2.65, 1 Cu 2.73
Cu1 0.0000 0.1304 0.7500  4 Pd 2.57, 2 Cu 2.65, 2 V 2.73
Pd1 0.0000 0.0050 0.6240  2 V 2.51-2.61, 1 Cu 2.57, 5 Pd 2.65-2.76
Pd2 0.0000 0.1329 0.2500  2 V 2.63, 8 Pd 2.65-2.78
Pd3 0.0000 0.2530 0.6167  1 Cu 2.57, 3 V 2.57-2.77, 7 Pd 2.65-2.85


[3]
The following is a PBE calculation of a relaxed structure of ErGaCuRu, from Alexandria.

Results
- E (eV per atom) = -5.503

abc: 6.4257 6.4257 6.4257
angles: 90.00 90.00 90.00
With the nearest neighbours (Å) after each atom.
Space group F-43m (No. 216)
One atom of each set of equivalent atoms:
Er1 0.0000 0.0000 0.0000  4 Cu 2.78, 4 Ru 2.78
Ga1 0.0000 0.0000 0.5000  4 Ru 2.78, 4 Cu 2.78
Cu1 0.2500 0.2500 0.7500  4 Er 2.78, 4 Ga 2.78
Ru1 0.2500 0.2500 0.2500  4 Er 2.78, 4 Ga 2.78


[4]
The following is a PBE calculation of a relaxed structure of Si3W, from Alexandria.

Results
- energy above the most stable polymorph in this dataset (meV per atom) = 401.7
- E_form (uncorrected) (eV per atom) = 0.3968

abc: 5.2488 5.2488 4.7853
angles: 90.00 90.00 120.00
With the nearest neighbours (Å) after each atom.
Space group P6_3/mmc (No. 194)
One atom of each set of equivalent atoms:
Si1 0.1760 0.3521 0.2500  4 Si 2.48-2.77, 2 W 2.63
W1 0.3333 0.6667 0.7500  12 Si 2.63-2.79


[5]
The following is a PBE calculation of a relaxed structure of Mg2Ga4Co3, from Alexandria.

Results
- E (eV per atom) = -4.243

abc: 5.1468 8.5956 12.2560
angles: 90.00 90.00 90.00
With the nearest neighbours (Å) after each atom.
Space group Fmmm (No. 69)
One atom of each set of equivalent atoms:
Mg1 0.0000 0.0000 0.1130  1 Mg 2.77, 6 Co 2.86-2.92, 6 Ga 2.93-3.00
Ga1 0.0000 0.1663 0.3393  3 Co 2.43-2.46, 1 Ga 2.62
Co1 0.0000 0.0000 0.5000  4 Ga 2.43, 4 Co 2.50
Co2 0.2500 0.2500 0.0000  4 Ga 2.46, 4 Co 2.50-2.57


[6]
The following is a PBE calculation of a relaxed structure of TlSb12Rh4, from Alexandria.

Results
- E_form (uncorrected) (eV per atom) = -0.3659

abc: 9.4315 9.4315 9.4315
angles: 90.00 90.00 90.00
With the nearest neighbours (Å) after each atom.
Space group Im-3 (No. 204)
One atom of each set of equivalent atoms:
Tl1 0.0000 0.0000 0.0000  12 Sb 3.53
Sb1 0.0000 0.3405 0.1559  2 Rh 2.66, 1 Sb 2.94
Rh1 0.2500 0.2500 0.2500  6 Sb 2.66


[7]
The following is a PBE calculation of a relaxed structure of Ce2SnO, from Alexandria.

Results
- energy above the most stable polymorph in this dataset (meV per atom) = 0.0
- E_form (uncorrected) (eV per atom) = -1.5980

abc: 3.6198 3.6198 23.6494
angles: 90.00 90.00 120.00
With the nearest neighbours (Å) after each atom.
Space group R-3m (No. 166, hexagonal axes)
One atom of each set of equivalent atoms:
Ce1 0.0000 0.0000 0.2247  3 O 2.50
Sn1 0.0000 0.0000 0.0000  6 Ce 3.31, 6 Sn 3.62
O1 0.0000 0.0000 0.5000  6 Ce 2.50


[8]
The following is a PBE calculation of a relaxed structure of YMgCu2, from Alexandria.

Results
- E (eV per atom) = -4.025

abc: 3.9959 3.9959 20.0810
angles: 90.00 90.00 90.00
With the nearest neighbours (Å) after each atom.
Space group I4/mmm (No. 139)
One atom of each set of equivalent atoms:
Y1 0.0000 0.0000 0.1076  8 Cu 2.94-3.00
Mg1 0.0000 0.5000 0.2500  4 Cu 2.73, 4 Mg 2.83
Cu1 0.0000 0.0000 0.3426  4 Mg 2.73, 4 Y 3.00
Cu2 0.0000 0.5000 0.0000  4 Cu 2.83, 4 Y 2.94


What is the formula in the second record?
V2CuPd5


Number 3 is which compound?
ErGaCuRu